This record from Alexandria describes a relaxed Tl2CuRh2S6 crystal. The functional is PBE-GGA.

Calculated values
V (Å³/cell): 465.5
Crystal system: monoclinic
Raw formation energy (eV/atom): -0.289
Energy (eV per atom): -4.68

Structure (CIF):
```
data_Tl2CuRh2S6
_chemical_formula_sum 'Tl4 Cu2 Rh4 S12'
_cell_length_a 6.258
_cell_length_b 10.910
_cell_length_c 7.159
_cell_angle_alpha 90.00
_cell_angle_beta 107.74
_cell_angle_gamma 90.00
_space_group_name_H-M_alt 'C 1 2/m 1'
_space_group_IT_number 12
loop_
_space_group_symop_operation_xyz
'x,y,z'
'-x,-y,-z'
'-x,y,-z'
'x,-y,z'
'x+1/2,y+1/2,z'
'-x+1/2,-y+1/2,-z'
'-x+1/2,y+1/2,-z'
'x+1/2,-y+1/2,z'
loop_
_atom_site_label
_atom_site_type_symbol
_atom_site_fract_x
_atom_site_fract_y
_atom_site_fract_z
Tl1 Tl 0.000 0.168 0.000
Cu1 Cu 0.000 0.000 0.500
Rh1 Rh 0.000 0.330 0.500
S1 S 0.232 0.500 0.666
S2 S 0.235 0.173 0.681
```

This record from Alexandria describes a relaxed ScSnOs2 crystal. The functional is PBE-GGA.

Calculated values
V (Å³/cell): 431.3
Energy of formation (eV per atom): 1.586
Crystal system: tetragonal
Energy (eV per atom): -6.61

Structure (CIF):
```
data_ScSnOs2
_chemical_formula_sum 'Sc4 Sn4 Os8'
_cell_length_a 6.030
_cell_length_b 6.030
_cell_length_c 11.861
_cell_angle_alpha 90.00
_cell_angle_beta 90.00
_cell_angle_gamma 90.00
_space_group_name_H-M_alt 'I -4 2 d'
_space_group_IT_number 122
_space_group_name_Hall 'I -4 2bw'
loop_
_atom_site_label
_atom_site_type_symbol
_atom_site_fract_x
_atom_site_fract_y
_atom_site_fract_z
Sc1 Sc 0.000 0.000 0.000
Sn1 Sn 0.000 0.000 0.500
Os1 Os 0.248 0.250 0.125
```

This record from Alexandria describes a relaxed Zr4BeFe crystal. The functional is PBE-GGA.

Calculated values
V (Å³/cell): 219.1
Energy of formation (eV per atom): -0.082
Crystal system: tetragonal
Energy (eV per atom): -7.81
Excess energy over the best structure of this formula in the dataset (meV per atom): 0.0

Structure (CIF):
```
data_Zr4BeFe
_chemical_formula_sum 'Zr8 Be2 Fe2'
_cell_length_a 6.514
_cell_length_b 6.514
_cell_length_c 5.164
_cell_angle_alpha 90.00
_cell_angle_beta 90.00
_cell_angle_gamma 90.00
_space_group_name_H-M_alt 'I 4 2 2'
_space_group_IT_number 97
_space_group_name_Hall 'I 4 2'
loop_
_atom_site_label
_atom_site_type_symbol
_atom_site_fract_x
_atom_site_fract_y
_atom_site_fract_z
Zr1 Zr 0.166 0.334 0.250
Be1 Be 0.000 0.000 0.000
Fe1 Fe 0.000 0.000 0.500
```

This record from Alexandria describes a relaxed NdHo2Al crystal. The functional is PBE-GGA.

Calculated values
V (Å³/cell): 351.3
Energy of formation (eV per atom): -0.069
Crystal system: trigonal
Energy (eV per atom): -4.49
Excess energy over the best structure of this formula in the dataset (meV per atom): 127.0

Structure (CIF):
```
data_NdHo2Al
_chemical_formula_sum 'Nd3 Ho6 Al3'
_cell_length_a 3.5853
_cell_length_b 3.5853
_cell_length_c 31.5584
_cell_angle_alpha 90.00
_cell_angle_beta 90.00
_cell_angle_gamma 120.00
_space_group_name_H-M_alt 'R 3 m'
_space_group_IT_number 160
_space_group_name_Hall 'R 3 -2"'
loop_
_atom_site_label
_atom_site_type_symbol
_atom_site_fract_x
_atom_site_fract_y
_atom_site_fract_z
Nd1 Nd 0.0000 0.0000 0.0000
Ho1 Ho 0.0000 0.0000 0.5710
Ho2 Ho 0.0000 0.0000 0.7619
Al1 Al 0.0000 0.0000 0.1661
```

This record from Alexandria describes a relaxed NaPr2Nd3Te6 crystal. The functional is PBE-GGA.

Calculated values
V (Å³/cell): 783.6
Crystal system: monoclinic
Raw formation energy (eV/atom): -1.410
Energy (eV per atom): -5.08

Structure (CIF):
```
data_NaPr2Nd3Te6
_chemical_formula_sum 'Na2 Pr4 Nd6 Te12'
_cell_length_a 19.720
_cell_length_b 4.504
_cell_length_c 9.067
_cell_angle_alpha 90.00
_cell_angle_beta 103.35
_cell_angle_gamma 90.00
_space_group_name_H-M_alt 'C 1 2/m 1'
_space_group_IT_number 12
loop_
_space_group_symop_operation_xyz
'x,y,z'
'-x,-y,-z'
'-x,y,-z'
'x,-y,z'
'x+1/2,y+1/2,z'
'-x+1/2,-y+1/2,-z'
'-x+1/2,y+1/2,-z'
'x+1/2,-y+1/2,z'
loop_
_atom_site_label
_atom_site_type_symbol
_atom_site_fract_x
_atom_site_fract_y
_atom_site_fract_z
Na1 Na 0.000 0.000 0.000
Pr1 Pr 0.169 0.500 0.341
Nd1 Nd 0.000 0.000 0.500
Nd2 Nd 0.166 0.500 0.828
Te1 Te 0.001 0.500 0.248
Te2 Te 0.164 0.000 0.585
Te3 Te 0.166 0.000 0.081
```

This record from Alexandria describes a relaxed SrCa2Se2 crystal. The functional is PBE-GGA.

Calculated values
V (Å³/cell): 284.0
Crystal system: tetragonal
Raw formation energy (eV/atom): -1.396
Energy (eV per atom): -3.93
Excess energy over the best structure of this formula in the dataset (meV per atom): 0.0

Structure (CIF):
```
data_SrCa2Se2
_chemical_formula_sum 'Sr2 Ca4 Se4'
_cell_length_a 8.209
_cell_length_b 8.209
_cell_length_c 4.214
_cell_angle_alpha 90.00
_cell_angle_beta 90.00
_cell_angle_gamma 90.00
_space_group_name_H-M_alt 'P 4/m b m'
_space_group_IT_number 127
_space_group_name_Hall '-P 4 2ab'
loop_
_atom_site_label
_atom_site_type_symbol
_atom_site_fract_x
_atom_site_fract_y
_atom_site_fract_z
Sr1 Sr 0.000 0.000 0.000
Ca1 Ca 0.156 0.344 0.500
Se1 Se 0.152 0.652 0.000
```

This record from Alexandria describes a relaxed AgClF crystal. The functional is PBE-GGA.

Calculated values
V (Å³/cell): 256.9
Crystal system: monoclinic
Raw formation energy (eV/atom): -0.757
Energy (eV per atom): -2.95
Excess energy over the best structure of this formula in the dataset (meV per atom): 0.0

Structure (CIF):
```
data_AgClF
_chemical_formula_sum 'Ag4 Cl4 F4'
_cell_length_a 6.064
_cell_length_b 5.853
_cell_length_c 7.447
_cell_angle_alpha 90.00
_cell_angle_beta 103.61
_cell_angle_gamma 90.00
_space_group_name_H-M_alt 'C 1 2/c 1'
_space_group_IT_number 15
loop_
_space_group_symop_operation_xyz
'x,y,z'
'-x,-y,-z'
'-x,y,-z+1/2'
'x,-y,z+1/2'
'x+1/2,y+1/2,z'
'-x+1/2,-y+1/2,-z'
'-x+1/2,y+1/2,-z+1/2'
'x+1/2,-y+1/2,z+1/2'
loop_
_atom_site_label
_atom_site_type_symbol
_atom_site_fract_x
_atom_site_fract_y
_atom_site_fract_z
Ag1 Ag 0.250 0.250 0.000
Cl1 Cl 0.000 0.037 0.750
F1 F 0.000 0.500 0.000
```

This record from Alexandria describes a relaxed LiCu3Ni crystal. The functional is PBE-GGA.

Calculated values
V (Å³/cell): 87.3
Energy of formation (eV per atom): 0.600
Crystal system: cubic
Energy (eV per atom): -3.40
Excess energy over the best structure of this formula in the dataset (meV per atom): 609.2

Structure (CIF):
```
data_LiCu3Ni
_chemical_formula_sum 'Li1 Cu3 Ni1'
_cell_length_a 4.436
_cell_length_b 4.436
_cell_length_c 4.436
_cell_angle_alpha 90.00
_cell_angle_beta 90.00
_cell_angle_gamma 90.00
_space_group_name_H-M_alt 'P m -3 m'
_space_group_IT_number 221
_space_group_name_Hall '-P 4 2 3'
loop_
_atom_site_label
_atom_site_type_symbol
_atom_site_fract_x
_atom_site_fract_y
_atom_site_fract_z
Li1 Li 0.000 0.000 0.000
Cu1 Cu 0.000 0.500 0.500
Ni1 Ni 0.500 0.500 0.500
```